The following is a PBE calculation of Li2YVAs after structural relaxation, from Alexandria.

Properties
- Raw total energy: -4.154 eV/atom
- Formation energy from the elements: 0.658 eV per atom
- Magnetization: 0.9694 μB per atom
- Crystal system: tetragonal
- DOS(E_F): 2.7 states/eV/f.u.

Cell and atoms, written as CIF:
```
data_Li2YVAs
_symmetry_space_group_name_H-M 'P 4/m m m'
_symmetry_Int_Tables_number 123
_symmetry_space_group_name_Hall '-P 4 2'
_cell_length_a 4.6128
_cell_length_b 4.6128
_cell_length_c 5.6148
_cell_angle_alpha 90.00
_cell_angle_beta 90.00
_cell_angle_gamma 90.00
loop_
_atom_site_label
_atom_site_type_symbol
_atom_site_fract_x
_atom_site_fract_y
_atom_site_fract_z
Li1 Li 0.0000 0.5000 0.0000
Y1 Y 0.0000 0.0000 0.5000
V1 V 0.0000 0.0000 0.0000
As1 As 0.5000 0.5000 0.5000
```